# 1
VASP calculation (GGA-PBE) on AgMo2Ru after structural relaxation.

Computed properties:
crystal system = orthorhombic
ΔE to the lowest computed polymorph = 0 kJ/mol of formula units

Cell lengths 4.0011, 2.7880, 6.2800 Å; angles 63.64, 90.00, 90.00 degrees
With the nearest neighbours (Å) after each atom.
Fractional positions:
Ag: 0.5000 0.7500 0.7500  2 Ag 2.79, 2 Ru 2.81, 8 Mo 2.88-2.89
Mo: 0.0000 0.9756 0.0241  3 Mo 2.54-2.79, 4 Ru 2.75
Mo: 0.0000 0.5244 0.4759  3 Mo 2.54-2.79, 4 Ru 2.75
Ru: 0.5000 0.2500 0.2500  8 Mo 2.75, 2 Ru 2.79, 2 Ag 2.81

---

# 2
VASP calculation (GGA-PBE) on RbH3O3 after structural relaxation.

Computed properties:
crystal system = trigonal
E = -61.960 eV for the cell shown

Cell lengths 6.9473, 6.9473, 5.9960 Å; angles 54.60, 54.60, 60.00 degrees
With the nearest neighbours (Å) after each atom.
Fractional positions:
Rb: 0.3335 0.3335 0.9995  3 H 2.87, 6 O 2.95-3.18
Rb: 0.6665 0.6665 0.0005  3 H 2.87, 6 O 2.95-3.18
H: 0.3691 0.8836 0.5112  1 O 1.00
H: 0.8836 0.2361 0.5112  1 O 1.00
H: 0.2361 0.3691 0.5112  1 O 1.00
H: 0.7639 0.6309 0.4888  1 O 1.00
H: 0.1164 0.7639 0.4888  1 O 1.00
H: 0.6309 0.1164 0.4888  1 O 1.00
O: 0.1488 0.5420 0.4186  1 H 1.00
O: 0.8905 0.1488 0.4186  1 H 1.00
O: 0.5420 0.8905 0.4186  1 H 1.00
O: 0.4580 0.1095 0.5814  1 H 1.00
O: 0.1095 0.8512 0.5814  1 H 1.00
O: 0.8512 0.4580 0.5814  1 H 1.00

---

# 3
VASP calculation (GGA-PBE) on AcPr7Nd12 after structural relaxation.

Computed properties:
crystal system = trigonal
ΔE to the lowest computed polymorph = 0 kJ/mol of formula units

Cell lengths 8.9861, 8.9861, 8.9861 Å; angles 90.20, 90.20, 90.20 degrees
With the nearest neighbours (Å) after each atom.
Fractional positions:
Ac: 0.0000 0.0000 0.0000  6 Nd 3.66, 6 Pr 3.83
Pr: 0.8369 0.6108 0.9384  4 Nd 3.44-3.85, 3 Pr 3.70-3.72, 1 Ac 3.83
Pr: 0.3892 0.0616 0.1631  4 Nd 3.44-3.85, 3 Pr 3.70-3.72, 1 Ac 3.83
Pr: 0.0616 0.1631 0.3892  4 Nd 3.44-3.85, 3 Pr 3.70-3.72, 1 Ac 3.83
Pr: 0.5000 0.5000 0.5000  6 Nd 3.36
Pr: 0.9384 0.8369 0.6108  4 Nd 3.44-3.85, 3 Pr 3.70-3.72, 1 Ac 3.83
Pr: 0.6108 0.9384 0.8369  4 Nd 3.44-3.85, 3 Pr 3.70-3.72, 1 Ac 3.83
Pr: 0.1631 0.3892 0.0616  4 Nd 3.44-3.85, 3 Pr 3.70-3.72, 1 Ac 3.83
Nd: 0.8807 0.2873 0.7375  2 Nd 3.29-3.30, 1 Pr 3.44, 1 Ac 3.66
Nd: 0.7127 0.2625 0.1193  2 Nd 3.29-3.30, 1 Pr 3.44, 1 Ac 3.66
Nd: 0.6256 0.1483 0.5111  3 Nd 3.29-3.49, 2 Pr 3.36-3.49
Nd: 0.8517 0.4889 0.3744  3 Nd 3.29-3.49, 2 Pr 3.36-3.49
Nd: 0.2625 0.1193 0.7127  2 Nd 3.29-3.30, 1 Pr 3.44, 1 Ac 3.66
Nd: 0.4889 0.3744 0.8517  3 Nd 3.29-3.49, 2 Pr 3.36-3.49
Nd: 0.5111 0.6256 0.1483  3 Nd 3.29-3.49, 2 Pr 3.36-3.49
Nd: 0.7375 0.8807 0.2873  2 Nd 3.29-3.30, 1 Pr 3.44, 1 Ac 3.66
Nd: 0.1483 0.5111 0.6256  3 Nd 3.29-3.49, 2 Pr 3.36-3.49
Nd: 0.3744 0.8517 0.4889  3 Nd 3.29-3.49, 2 Pr 3.36-3.49
Nd: 0.2873 0.7375 0.8807  2 Nd 3.29-3.30, 1 Pr 3.44, 1 Ac 3.66
Nd: 0.1193 0.7127 0.2625  2 Nd 3.29-3.30, 1 Pr 3.44, 1 Ac 3.66

---

# 4
VASP calculation (GGA-PBE) on Nd14YMg after structural relaxation.

Computed properties:
crystal system = orthorhombic
E = -74.704 eV for the cell shown

Cell lengths 7.2833, 7.2833, 10.3342 Å; angles 90.00, 90.00, 90.00 degrees
With the nearest neighbours (Å) after each atom.
Fractional positions:
Nd: 0.3750 0.6250 0.5000  12 Nd 3.64-3.68
Nd: 0.8750 0.1250 0.5000  12 Nd 3.64-3.67
Nd: 0.8747 0.6244 0.0000  8 Nd 3.62-3.63, 2 Mg 3.64-3.65, 2 Y 3.64
Nd: 0.8752 0.6253 0.5000  12 Nd 3.64-3.67
Nd: 0.3756 0.1253 0.0000  8 Nd 3.62-3.63, 2 Mg 3.64-3.65, 2 Y 3.64
Nd: 0.3747 0.1248 0.5000  12 Nd 3.64-3.67
Nd: 0.6255 0.8754 0.7529  1 Mg 3.62, 10 Nd 3.63-3.67, 1 Y 3.63
Nd: 0.6255 0.8754 0.2471  1 Mg 3.62, 10 Nd 3.63-3.67, 1 Y 3.63
Nd: 0.1246 0.3745 0.7529  1 Mg 3.62, 10 Nd 3.63-3.67, 1 Y 3.63
Nd: 0.1246 0.3745 0.2471  1 Mg 3.62, 10 Nd 3.63-3.67, 1 Y 3.63
Nd: 0.1244 0.8756 0.7531  1 Mg 3.62, 10 Nd 3.63-3.68, 1 Y 3.63
Nd: 0.1244 0.8756 0.2469  1 Mg 3.62, 10 Nd 3.63-3.68, 1 Y 3.63
Nd: 0.6256 0.3744 0.7526  1 Mg 3.62, 10 Nd 3.62-3.67, 1 Y 3.63
Nd: 0.6256 0.3744 0.2474  1 Mg 3.62, 10 Nd 3.62-3.67, 1 Y 3.63
Y: 0.3749 0.6251 0.0000  12 Nd 3.63-3.64
Mg: 0.8749 0.1251 0.0000  12 Nd 3.62-3.65

---

# 5
VASP calculation (GGA-PBE) on ScMnTe2 after structural relaxation.

Computed properties:
crystal system = monoclinic
formation energy without anion corrections = -60 kJ per mole of atoms

Cell lengths 6.9020, 6.9020, 3.9324 Å; angles 89.94, 89.94, 32.86 degrees
With the nearest neighbours (Å) after each atom.
Fractional positions:
Mn: 0.4914 0.4914 0.3761  5 Te 2.75-2.81
Sc: 0.6962 0.6962 0.8741  6 Te 2.96-3.00
Te: 0.0286 0.0286 0.8758  4 Mn 2.81, 2 Sc 2.96
Te: 0.2838 0.2838 0.3740  1 Mn 2.75, 4 Sc 3.00

---

# 6
VASP calculation (GGA-PBE) on HoSi4Pd8 after structural relaxation.

Computed properties:
crystal system = tetragonal
formation energy without anion corrections = -63 kJ per mole of atoms

Cell lengths 5.2767, 6.6926, 6.6926 Å; angles 81.06, 66.78, 66.78 degrees
With the nearest neighbours (Å) after each atom.
Fractional positions:
Ho: 0.0000 0.0000 0.0000  4 Pd 2.86
Si: 0.0000 0.0000 0.5000  8 Pd 2.55-2.63, 2 Si 2.64
Si: 0.5000 0.0000 0.5000  8 Pd 2.55-2.63, 2 Si 2.64
Si: 0.0000 0.5000 0.0000  8 Pd 2.55-2.63, 2 Si 2.64
Si: 0.5000 0.5000 0.0000  8 Pd 2.55-2.63, 2 Si 2.64
Pd: 0.0000 0.3285 0.6715  4 Si 2.63, 4 Pd 2.79-2.83, 1 Ho 2.86
Pd: 0.0000 0.6715 0.3285  4 Si 2.63, 4 Pd 2.79-2.83, 1 Ho 2.86
Pd: 0.3285 0.6715 0.6715  4 Si 2.63, 4 Pd 2.79-2.83, 1 Ho 2.86
Pd: 0.6715 0.3285 0.3285  4 Si 2.63, 4 Pd 2.79-2.83, 1 Ho 2.86
Pd: 0.5000 0.7758 0.2242  4 Si 2.55, 6 Pd 2.76-2.83
Pd: 0.5000 0.2242 0.7758  4 Si 2.55, 6 Pd 2.76-2.83
Pd: 0.2758 0.2242 0.2242  4 Si 2.55, 6 Pd 2.76-2.83
Pd: 0.7242 0.7758 0.7758  4 Si 2.55, 6 Pd 2.76-2.83

---

# 7
VASP calculation (GGA-PBE) on TbPm5Al2 after structural relaxation.

Computed properties:
crystal system = hexagonal
ΔE to the lowest computed polymorph = 33 kJ/mol of formula units

Cell lengths 5.4070, 5.4070, 19.9928 Å; angles 90.00, 90.00, 120.00 degrees
With the nearest neighbours (Å) after each atom.
Fractional positions:
Tb: 0.3333 0.6667 0.2500  2 Al 2.99, 3 Pm 3.12
Tb: 0.6667 0.3333 0.7500  2 Al 2.99, 3 Pm 3.12
Pm: 0.0000 0.0000 0.3446  3 Al 3.31, 3 Tb 3.65, 6 Pm 3.65-3.70
Pm: 0.0000 0.0000 0.1554  3 Al 3.31, 6 Pm 3.65-3.70, 3 Tb 3.65
Pm: 0.6667 0.3333 0.2500  3 Tb 3.12
Pm: 0.0000 0.0000 0.8446  3 Al 3.31, 6 Pm 3.65-3.70, 3 Tb 3.65
Pm: 0.6667 0.3333 0.0557  4 Al 3.13-3.25
Pm: 0.3333 0.6667 0.7500  3 Tb 3.12
Pm: 0.3333 0.6667 0.9443  4 Al 3.13-3.25
Pm: 0.3333 0.6667 0.5557  4 Al 3.13-3.25
Pm: 0.6667 0.3333 0.4443  4 Al 3.13-3.25
Pm: 0.0000 0.0000 0.6554  3 Al 3.31, 3 Tb 3.65, 6 Pm 3.65-3.70
Al: 0.6667 0.3333 0.6006  1 Tb 2.99, 7 Pm 3.13-3.31
Al: 0.3333 0.6667 0.1006  1 Tb 2.99, 7 Pm 3.13-3.31
Al: 0.3333 0.6667 0.3994  1 Tb 2.99, 7 Pm 3.13-3.31
Al: 0.6667 0.3333 0.8994  1 Tb 2.99, 7 Pm 3.13-3.31

---

# 8
VASP calculation (GGA-PBE) on KGe2P2 after structural relaxation.

Computed properties:
crystal system = tetragonal
E = -21.506 eV for the cell shown

Cell lengths 4.6232, 4.6232, 6.8552 Å; angles 70.29, 70.29, 90.00 degrees
With the nearest neighbours (Å) after each atom.
Fractional positions:
P: 0.3313 0.3313 0.3374  4 Ge 2.51
P: 0.6687 0.6687 0.6626  4 Ge 2.51
Ge: 0.7500 0.2500 0.5000  4 P 2.51
Ge: 0.2500 0.7500 0.5000  4 P 2.51
K: 0.0000 0.0000 0.0000  8 Ge 3.80, 10 P 3.85-3.99

---

# 9
VASP calculation (GGA-PBE) on Al2NiIr after structural relaxation.

Computed properties:
crystal system = tetragonal
E = -24.698 eV for the cell shown

Cell lengths 4.8304, 4.8304, 4.8304 Å; angles 136.26, 136.26, 63.57 degrees
With the nearest neighbours (Å) after each atom.
Fractional positions:
Ni: 0.7500 0.2500 0.5000  8 Al 2.54-2.73, 4 Ir 2.73
Ir: 0.5000 0.5000 0.0000  8 Al 2.54-2.73, 4 Ni 2.73
Al: 0.0000 0.0000 0.0000  4 Ir 2.54, 4 Ni 2.73, 4 Al 2.73
Al: 0.2500 0.7500 0.5000  4 Ni 2.54, 4 Ir 2.73, 4 Al 2.73

---

# 10
VASP calculation (GGA-PBE) on BaMgMnH2 after structural relaxation.

Computed properties:
crystal system = tetragonal
E = -15.670 eV for the cell shown

Cell lengths 4.7361, 7.3258, 4.7361 Å; angles 90.00, 90.00, 90.00 degrees
With the nearest neighbours (Å) after each atom.
Fractional positions:
H: 0.0000 0.0000 0.5000  2 Ba 2.37
H: 0.5000 0.0000 0.0000  2 Ba 2.37
Mg: 0.0000 0.5000 0.0000  4 Mn 3.35, 2 Ba 3.66
Mn: 0.5000 0.5000 0.5000  4 Mg 3.35
Ba: 0.0000 0.0000 0.0000  4 H 2.37

---

# 11
VASP calculation (GGA-PBE) on TaMoP after structural relaxation.

Computed properties:
crystal system = orthorhombic
E = -178.704 eV for the cell shown

Cell lengths 3.3051, 6.8554, 12.0255 Å; angles 90.00, 90.00, 90.00 degrees
With the nearest neighbours (Å) after each atom.
Fractional positions:
Ta: 0.0000 0.2149 0.9574  5 P 2.54-2.84
Ta: 0.0000 0.7851 0.0426  5 P 2.54-2.84
Ta: 0.0000 0.2149 0.5426  5 P 2.54-2.84
Ta: 0.0000 0.7851 0.4574  5 P 2.54-2.84
Ta: 0.0000 0.2036 0.2500  5 P 2.58-2.63, 4 Mo 2.87
Ta: 0.0000 0.7964 0.7500  5 P 2.58-2.63, 4 Mo 2.87
Mo: 0.5000 0.4582 0.1202  3 P 2.44-2.57
Mo: 0.5000 0.5418 0.8798  3 P 2.44-2.57
Mo: 0.5000 0.4582 0.3798  3 P 2.44-2.57
Mo: 0.5000 0.5418 0.6202  3 P 2.44-2.57
Mo: 0.5000 0.8428 0.2500  4 P 2.41-2.46
Mo: 0.5000 0.1572 0.7500  4 P 2.41-2.46
P: 0.5000 0.0854 0.0997  2 Mo 2.46-2.57, 6 Ta 2.54-2.73, 1 P 2.67
P: 0.5000 0.9146 0.9003  2 Mo 2.46-2.57, 6 Ta 2.54-2.73, 1 P 2.67
P: 0.5000 0.0854 0.4003  2 Mo 2.46-2.57, 6 Ta 2.54-2.73, 1 P 2.67
P: 0.5000 0.9146 0.5997  2 Mo 2.46-2.57, 6 Ta 2.54-2.73, 1 P 2.67
P: 0.0000 0.5867 0.2500  6 Mo 2.41-2.44, 1 Ta 2.63
P: 0.0000 0.4133 0.7500  6 Mo 2.41-2.44, 1 Ta 2.63

---

# 12
VASP calculation (GGA-PBE) on SrTcCl2 after structural relaxation.

Computed properties:
crystal system = monoclinic
formation energy without anion corrections = -43 kJ per mole of atoms
ΔE to the lowest computed polymorph = 35 kJ/mol of formula units

Cell lengths 5.8599, 5.8599, 5.6031 Å; angles 87.40, 87.40, 36.09 degrees
With the nearest neighbours (Å) after each atom.
Fractional positions:
Sr: 0.5064 0.5064 0.6225  5 Cl 2.95-3.20, 2 Tc 3.22
Tc: 0.1834 0.1834 0.2880  1 Cl 2.38
Cl: 0.0171 0.0171 0.0360  1 Tc 2.38
Cl: 0.7932 0.7932 0.5534  2 Tc 2.68

---

Computed density (g/cm³) in order:
10.60 2.43 6.74 6.46 5.80 9.39 6.15 3.18 9.52 2.21 11.26 3.76